Record 1
Density functional theory data (GGA-PBE) for an optimized crystal structure of K2LiH2Se2O6.

a b c (Å): 5.671 6.780 7.067
angles (deg): 89.61 114.17 110.80
Fractional coordinates of all 13 atoms:
1 Se 0.850 0.090 0.668
2 Se 0.109 0.861 0.236
3 H 0.262 0.313 0.511
4 H 0.828 0.761 0.802
5 O 0.199 0.424 0.447
6 O 0.834 0.803 0.665
7 O 0.821 0.689 0.022
8 O 0.560 0.054 0.702
9 O 0.122 0.222 0.900
10 O 0.393 0.840 0.219
11 Li 0.479 0.640 0.414
12 K 0.278 0.656 0.802
13 K 0.713 0.260 0.094

**Offset from the most stable computed form**: 0.017 eV/atom
**Total energy**: -63.26 eV per cell
**Total moment**: 1.00 μB per cell

***

Record 2
Density functional theory data (GGA-PBE) for an optimized crystal structure of MgCo2Hg2.

a b c (Å): 6.719 6.719 3.777
angles (deg): 90.00 90.00 90.00
Fractional coordinates of all 10 atoms:
1 Hg 0.323 0.177 0.500
2 Hg 0.177 0.677 0.500
3 Hg 0.823 0.323 0.500
4 Hg 0.677 0.823 0.500
5 Co 0.619 0.119 0.000
6 Co 0.381 0.881 0.000
7 Co 0.881 0.619 0.000
8 Co 0.119 0.381 0.000
9 Mg 0.000 0.000 0.000
10 Mg 0.500 0.500 0.000

**E_form**: 0.27 eV per atom
**Total energy**: -30.13 eV per cell
**Total moment**: 4.62 μB per cell

***

Record 3
Density functional theory data (GGA-PBE) for an optimized crystal structure of Cs4K2AlSn2.

a b c (Å): 7.379 9.107 9.107
angles (deg): 55.91 72.73 72.73
Fractional coordinates of all 9 atoms:
1 K 0.777 0.358 0.358
2 K 0.223 0.642 0.642
3 Cs 0.768 0.362 0.893
4 Cs 0.232 0.107 0.638
5 Cs 0.768 0.893 0.362
6 Cs 0.232 0.638 0.107
7 Sn 0.758 0.842 0.842
8 Sn 0.242 0.158 0.158
9 Al 0.500 0.000 0.000

**E_form**: -0.02 eV per atom
**Total energy**: -17.52 eV per cell
**Total moment**: 0.60 μB per cell